Compound: KV4In3O12
Source: Alexandria
Functional: PBE with a Hubbard U
Structure: optimized geometry

Its crystal system is trigonal. The raw total energy comes out at -389.31 eV/cell.

It has space group R32 (No. 155, hexagonal axes), with a = 11.5958 Å, b = 11.5958 Å, c = 8.0032 Å, α = 90.00°, β = 90.00° and γ = 120.00°. The distinct sites, in fractional coordinates, are K at (0.0000, 0.0000, 0.0000), V at (0.0000, 0.0000, 0.5000), V at (0.0000, 0.4368, 0.5000), In at (0.0000, 0.5633, 0.0000), O at (0.0000, 0.5895, 0.5000), O at (0.0000, 0.8323, 0.5000) and O at (0.0483, 0.2322, 0.1807).